Pr4MgNi: PBEsol geometry, SCAN.

Summary:
- DOS at the Fermi energy: 4.760 states/eV/f.u.
- Energy of formation from the pure elements: -0.163 eV per atom
- Magnetization: 0.000 μB per atom

a b c (Å): 13.883 13.883 13.883
angles (deg): 90.00 90.00 90.00
Space group F-43m (No. 216)
Asymmetric unit:
Pr1 0.000 0.000 0.187 x24
Pr2 0.060 0.250 0.750 x24
Pr3 0.095 0.095 0.405 x16
Mg1 0.171 0.171 0.171 x16
Ni1 0.108 0.108 0.608 x16